Entry one
Density functional theory data (PBE) for a geometry-optimized TbHoAs2 structure.

space-group type: I4_1/amd
density: 8.0 Mg/m³

Cell: 5.8222 5.8222 7.1350 Å, 114.08 114.08 90.00°
Fractional coordinates of all 8 atoms:
Tb (0.7500, 0.2500, 0.5000)
Tb (0.0000, 0.0000, 0.0000)
As (0.7490, 0.7490, 0.4981)
As (0.2510, 0.2510, 0.5019)
As (0.0010, 0.5010, 0.0019)
As (0.4990, 0.9990, 0.9981)
Ho (0.5000, 0.5000, 0.0000)
Ho (0.2500, 0.7500, 0.5000)

---

Entry two
Density functional theory data (PBE) for a geometry-optimized TbHoAs2 structure.

space-group type: R3m
density: 7.8 Mg/m³

Cell: 4.0801 4.0801 7.3951 Å, 73.99 73.99 60.00°
Fractional coordinates of all 4 atoms:
As (0.2519, 0.2519, 0.2443)
As (0.0813, 0.0813, 0.7560)
Ho (0.6690, 0.6690, 0.9929)
Tb (0.4977, 0.4977, 0.5068)

---

Relative stability in eV/atom, measured from the most stable structure: entry one 0.000; entry two 0.152